An optimized crystal structure of DyHoEr4, computed with PBE.

a = 6.4901 Å, b = 6.4901 Å, c = 6.4901 Å
α = 60.00°, β = 60.00°, γ = 60.00°
Last column: nearest neighbours and their distance in Å.
Sites, in units of the cell vectors:
Dy 0.2500 0.2500 0.2500  12 Er 3.81, 4 Ho 3.97
Ho 0.0000 0.0000 0.0000  12 Er 3.81, 4 Dy 3.97
Er 0.6250 0.6250 0.1251  6 Er 3.24-3.25
Er 0.6250 0.1251 0.6250  6 Er 3.24-3.25
Er 0.6250 0.6250 0.6250  6 Er 3.24-3.25
Er 0.1251 0.6250 0.6250  6 Er 3.24-3.25

Values from the calculation:
DFT formation energy: 0.272 eV per atom
Crystal system: cubic
Electronic total energy: -4.300 eV per atom